1.
Ce3H6Ru | PBE | relaxed

Properties
space-group type	Cmc2_1, No. 36
total energy	-50.57	eV per formula unit
Fermi-level density of states	1.6717	states/eV/atom

Cell and atoms, written as CIF:
```
data_Ce3H6Ru
_space_group_name_H-M_alt 'P 1'
_space_group_IT_number 1
_cell_length_a 5.087
_cell_length_b 7.412
_cell_length_c 7.412
_cell_angle_alpha 110.08
_cell_angle_beta 90.00
_cell_angle_gamma 90.00
loop_
_space_group_symop_operation_xyz
'x,y,z'
loop_
_atom_site_label
_atom_site_type_symbol
_atom_site_fract_x
_atom_site_fract_y
_atom_site_fract_z
H1 H 0.215 0.645 0.636
H2 H 0.159 0.396 0.895
H3 H 0.159 0.105 0.604
H4 H 0.659 0.895 0.396
H5 H 0.715 0.355 0.364
H6 H 0.152 0.036 0.964
Ce1 Ce 0.972 0.087 0.308
Ce2 Ce 0.449 0.380 0.620
H7 H 0.715 0.636 0.645
Ce3 Ce 0.472 0.913 0.692
H8 H 0.215 0.364 0.355
H9 H 0.652 0.964 0.036
Ru1 Ru 0.013 0.168 0.832
Ru2 Ru 0.513 0.832 0.168
H10 H 0.659 0.604 0.105
H11 H 0.178 0.786 0.214
Ce4 Ce 0.949 0.620 0.380
H12 H 0.678 0.214 0.786
Ce5 Ce 0.972 0.692 0.913
Ce6 Ce 0.472 0.308 0.087
```



2.
Ce3HRu | PBE | relaxed

Properties
space-group type	P-1, No. 2
total energy	-31.34	eV per formula unit
Fermi-level density of states	1.7272	states/eV/atom

Cell and atoms, written as CIF:
```
data_Ce3HRu
_space_group_name_H-M_alt 'P 1'
_space_group_IT_number 1
_cell_length_a 5.242
_cell_length_b 6.178
_cell_length_c 7.307
_cell_angle_alpha 90.17
_cell_angle_beta 89.80
_cell_angle_gamma 115.24
loop_
_space_group_symop_operation_xyz
'x,y,z'
loop_
_atom_site_label
_atom_site_type_symbol
_atom_site_fract_x
_atom_site_fract_y
_atom_site_fract_z
Ce1 Ce 0.637 0.277 0.912
Ce2 Ce 0.363 0.723 0.088
Ce3 Ce 0.946 0.892 0.686
H1 H 0.436 0.869 0.764
Ce4 Ce 0.054 0.108 0.314
Ru1 Ru 0.879 0.753 0.070
Ru2 Ru 0.121 0.247 0.930
Ce5 Ce 0.250 0.500 0.587
Ce6 Ce 0.750 0.500 0.413
H2 H 0.564 0.131 0.236
```



3.
CeHRu | PBE | relaxed

Properties
space-group type	I4mm, No. 107
energy relative to the lowest polymorph listed for this composition	0.224	eV per atom
Fermi-level density of states	1.0297	states/eV/atom

Cell and atoms, written as CIF:
```
data_CeHRu
_space_group_name_H-M_alt 'P 1'
_space_group_IT_number 1
_cell_length_a 3.786
_cell_length_b 3.786
_cell_length_c 4.519
_cell_angle_alpha 114.77
_cell_angle_beta 114.77
_cell_angle_gamma 90.00
loop_
_space_group_symop_operation_xyz
'x,y,z'
loop_
_atom_site_label
_atom_site_type_symbol
_atom_site_fract_x
_atom_site_fract_y
_atom_site_fract_z
Ru1 Ru 0.697 0.697 0.394
Ce1 Ce 0.230 0.230 0.461
H1 H 0.922 0.922 0.845
```



4.
CeHRu | PBE | relaxed

Properties
space-group type	C2/m, No. 12
energy relative to the lowest polymorph listed for this composition	0.183	eV per atom
Fermi-level density of states	0.5595	states/eV/atom

Cell and atoms, written as CIF:
```
data_CeHRu
_space_group_name_H-M_alt 'P 1'
_space_group_IT_number 1
_cell_length_a 3.924
_cell_length_b 3.923
_cell_length_c 7.425
_cell_angle_alpha 74.79
_cell_angle_beta 74.75
_cell_angle_gamma 90.00
loop_
_space_group_symop_operation_xyz
'x,y,z'
loop_
_atom_site_label
_atom_site_type_symbol
_atom_site_fract_x
_atom_site_fract_y
_atom_site_fract_z
Ce1 Ce 0.289 0.230 0.339
H1 H 0.404 0.844 0.108
Ru1 Ru 0.154 0.595 0.608
Ce2 Ce 0.519 0.459 0.878
H2 H 0.904 0.344 0.108
Ru2 Ru 0.654 0.095 0.609
```



5.
Ce2H8Ru | PBE | relaxed

Properties
space-group type	Immm, No. 71
total energy	-51.37	eV per formula unit
Fermi-level density of states	1.0584	states/eV/atom

Cell and atoms, written as CIF:
```
data_Ce2H8Ru
_space_group_name_H-M_alt 'P 1'
_space_group_IT_number 1
_cell_length_a 3.755
_cell_length_b 4.487
_cell_length_c 6.733
_cell_angle_alpha 109.48
_cell_angle_beta 106.19
_cell_angle_gamma 90.00
loop_
_space_group_symop_operation_xyz
'x,y,z'
loop_
_atom_site_label
_atom_site_type_symbol
_atom_site_fract_x
_atom_site_fract_y
_atom_site_fract_z
H1 H 0.384 0.661 0.768
H2 H 0.000 0.177 0.000
H3 H 0.235 0.235 0.470
Ru1 Ru 0.500 0.000 0.000
H4 H 0.000 0.823 0.000
Ce1 Ce 0.152 0.652 0.303
H5 H 0.384 0.106 0.768
H6 H 0.616 0.894 0.232
H7 H 0.616 0.339 0.232
Ce2 Ce 0.848 0.348 0.697
H8 H 0.765 0.765 0.530
```



6.
CeH2Ru | PBE | relaxed

Properties
space-group type	R-3m, No. 166
total energy	-22.96	eV per formula unit
Fermi-level density of states	0.1872	states/eV/atom

Cell and atoms, written as CIF:
```
data_CeH2Ru
_space_group_name_H-M_alt 'P 1'
_space_group_IT_number 1
_cell_length_a 4.077
_cell_length_b 4.077
_cell_length_c 4.291
_cell_angle_alpha 61.64
_cell_angle_beta 61.64
_cell_angle_gamma 60.00
loop_
_space_group_symop_operation_xyz
'x,y,z'
loop_
_atom_site_label
_atom_site_type_symbol
_atom_site_fract_x
_atom_site_fract_y
_atom_site_fract_z
Ru1 Ru 0.000 0.000 0.000
Ce1 Ce 0.500 0.500 0.500
H1 H 0.840 0.840 0.481
H2 H 0.160 0.160 0.519
```



7.
CeH6Ru | PBE | relaxed

Properties
space-group type	R-3m, No. 166
energy relative to the lowest polymorph listed for this composition	0.000	eV per atom

Cell and atoms, written as CIF:
```
data_CeH6Ru
_space_group_name_H-M_alt 'P 1'
_space_group_IT_number 1
_cell_length_a 4.473
_cell_length_b 4.473
_cell_length_c 4.535
_cell_angle_alpha 60.45
_cell_angle_beta 60.45
_cell_angle_gamma 60.00
loop_
_space_group_symop_operation_xyz
'x,y,z'
loop_
_atom_site_label
_atom_site_type_symbol
_atom_site_fract_x
_atom_site_fract_y
_atom_site_fract_z
Ce1 Ce 0.500 0.500 0.500
H1 H 0.896 0.450 0.759
Ru1 Ru 0.000 0.000 0.000
H2 H 0.896 0.896 0.759
H3 H 0.104 0.550 0.241
H4 H 0.550 0.104 0.241
H5 H 0.450 0.896 0.759
H6 H 0.104 0.104 0.241
```



8.
CeH6Ru2 | PBE | relaxed

Properties
space-group type	C2/m, No. 12
energy relative to the lowest polymorph listed for this composition	0.000	eV per atom
Fermi-level density of states	0.4075	states/eV/atom

Cell and atoms, written as CIF:
```
data_CeH6Ru2
_space_group_name_H-M_alt 'P 1'
_space_group_IT_number 1
_cell_length_a 4.216
_cell_length_b 4.216
_cell_length_c 6.375
_cell_angle_alpha 118.25
_cell_angle_beta 118.25
_cell_angle_gamma 92.64
loop_
_space_group_symop_operation_xyz
'x,y,z'
loop_
_atom_site_label
_atom_site_type_symbol
_atom_site_fract_x
_atom_site_fract_y
_atom_site_fract_z
Ru1 Ru 0.250 0.250 0.500
H1 H 0.612 0.112 0.699
H2 H 0.388 0.888 0.301
H3 H 0.883 0.764 0.280
H4 H 0.736 0.617 0.720
H5 H 0.117 0.236 0.720
H6 H 0.264 0.383 0.280
Ce1 Ce 0.500 0.000 0.000
Ru2 Ru 0.750 0.750 0.500
```



9.
CeH8Ru2 | PBE | relaxed

Properties
space-group type	C2/m, No. 12
total energy	-53.38	eV per formula unit
Fermi-level density of states	0.5400	states/eV/atom

Cell and atoms, written as CIF:
```
data_CeH8Ru2
_space_group_name_H-M_alt 'P 1'
_space_group_IT_number 1
_cell_length_a 3.636
_cell_length_b 5.117
_cell_length_c 5.117
_cell_angle_alpha 117.42
_cell_angle_beta 90.89
_cell_angle_gamma 90.89
loop_
_space_group_symop_operation_xyz
'x,y,z'
loop_
_atom_site_label
_atom_site_type_symbol
_atom_site_fract_x
_atom_site_fract_y
_atom_site_fract_z
Ce1 Ce 0.500 0.000 0.000
H1 H 0.500 0.701 0.299
H2 H 0.500 0.299 0.701
Ru1 Ru 0.000 0.672 0.328
H3 H 0.244 0.559 0.559
H4 H 0.987 0.974 0.679
H5 H 0.013 0.321 0.026
Ru2 Ru 0.000 0.328 0.672
H6 H 0.987 0.679 0.974
H7 H 0.013 0.026 0.321
H8 H 0.756 0.441 0.441
```



10.
CeSbH2Ru | PBE | relaxed

Properties
space-group type	Cmcm, No. 63
total energy	-28.73	eV per formula unit
Fermi-level density of states	1.2827	states/eV/atom

Cell and atoms, written as CIF:
```
data_CeSbH2Ru
_space_group_name_H-M_alt 'P 1'
_space_group_IT_number 1
_cell_length_a 4.230
_cell_length_b 5.879
_cell_length_c 6.110
_cell_angle_alpha 90.00
_cell_angle_beta 90.00
_cell_angle_gamma 111.09
loop_
_space_group_symop_operation_xyz
'x,y,z'
loop_
_atom_site_label
_atom_site_type_symbol
_atom_site_fract_x
_atom_site_fract_y
_atom_site_fract_z
Ce1 Ce 0.708 0.417 0.750
Ru1 Ru 0.000 0.000 0.000
Ru2 Ru 0.000 0.000 0.500
Sb1 Sb 0.578 0.156 0.250
H1 H 0.156 0.312 0.564
H2 H 0.844 0.688 0.064
Ce2 Ce 0.292 0.583 0.250
H3 H 0.844 0.688 0.436
Sb2 Sb 0.422 0.844 0.750
H4 H 0.156 0.312 0.936
```



11.
Ce2Si2HRu | PBE | relaxed

Properties
space-group type	P4/mmm, No. 123
total energy	-31.83	eV per formula unit
Fermi-level density of states	1.7673	states/eV/atom

Cell and atoms, written as CIF:
```
data_Ce2Si2HRu
_space_group_name_H-M_alt 'P 1'
_space_group_IT_number 1
_cell_length_a 2.721
_cell_length_b 2.721
_cell_length_c 14.870
_cell_angle_alpha 90.00
_cell_angle_beta 90.00
_cell_angle_gamma 90.00
loop_
_space_group_symop_operation_xyz
'x,y,z'
loop_
_atom_site_label
_atom_site_type_symbol
_atom_site_fract_x
_atom_site_fract_y
_atom_site_fract_z
H1 H 0.500 0.500 0.000
Si1 Si 0.500 0.500 0.659
Si2 Si 0.500 0.500 0.341
Ce1 Ce 0.500 0.500 0.142
Ce2 Ce 0.500 0.500 0.858
Ru1 Ru 0.500 0.500 0.500
```



12.
Ce2SnH12Ru3 | PBE | relaxed

Properties
space-group type	R-3m, No. 166
total energy	-85.56	eV per formula unit
Fermi-level density of states	0.7189	states/eV/atom

Cell and atoms, written as CIF:
```
data_Ce2SnH12Ru3
_space_group_name_H-M_alt 'P 1'
_space_group_IT_number 1
_cell_length_a 6.021
_cell_length_b 6.021
_cell_length_c 6.021
_cell_angle_alpha 65.05
_cell_angle_beta 65.05
_cell_angle_gamma 65.05
loop_
_space_group_symop_operation_xyz
'x,y,z'
loop_
_atom_site_label
_atom_site_type_symbol
_atom_site_fract_x
_atom_site_fract_y
_atom_site_fract_z
Ru1 Ru 0.000 0.500 0.000
H1 H 0.684 0.136 0.684
H2 H 0.448 0.851 0.851
Ce1 Ce 0.599 0.599 0.599
H3 H 0.851 0.851 0.448
H4 H 0.316 0.864 0.316
Ce2 Ce 0.401 0.401 0.401
Sn1 Sn 0.000 0.000 0.000
H5 H 0.851 0.448 0.851
H6 H 0.684 0.684 0.136
H7 H 0.149 0.149 0.552
H8 H 0.136 0.684 0.684
Ru2 Ru 0.500 0.000 0.000
H9 H 0.149 0.552 0.149
Ru3 Ru 0.000 0.000 0.500
H10 H 0.864 0.316 0.316
H11 H 0.316 0.316 0.864
H12 H 0.552 0.149 0.149
```